Entry 1:
# LaYCo2 PBE relaxed
# Relative energy among the computed polymorphs ... 0.42 eV/f.u.
# Energy relative to the elements ... -0.02 eV per atom
data_LaYCo2
_chemical_formula_sum 'La4 Y4 Co8'
_space_group_name_H-M_alt 'F m -3 m'
_space_group_IT_number 225
_space_group_name_Hall '-F 4 2 3'
_cell_length_a 6.879
_cell_length_b 6.879
_cell_length_c 6.879
_cell_angle_alpha 90.00
_cell_angle_beta 90.00
_cell_angle_gamma 90.00
loop_
_atom_site_label
_atom_site_fract_x
_atom_site_fract_y
_atom_site_fract_z
La1 0.000 0.000 0.000
Y1 0.000 0.000 0.500
Co1 0.250 0.250 0.250

Entry 2:
# LaY2Co6 PBE relaxed
# Energy relative to the elements ... -0.13 eV per atom
data_LaY2Co6
_chemical_formula_sum 'La1 Y2 Co6'
_space_group_name_H-M_alt 'P 6/m m m'
_space_group_IT_number 191
_space_group_name_Hall '-P 6 2'
_cell_length_a 6.7216
_cell_length_b 6.7216
_cell_length_c 4.1296
_cell_angle_alpha 90.00
_cell_angle_beta 90.00
_cell_angle_gamma 120.00
loop_
_atom_site_label
_atom_site_fract_x
_atom_site_fract_y
_atom_site_fract_z
La1 0.0000 0.0000 0.0000
Y1 0.3333 0.6667 0.0000
Co1 0.0000 0.3357 0.5000

Entry 3:
# LaYCo2 PBE relaxed
# Relative energy among the computed polymorphs ... 0.00 eV/f.u.
# Energy relative to the elements ... -0.12 eV per atom
data_LaYCo2
_chemical_formula_sum 'La2 Y2 Co4'
_space_group_name_H-M_alt 'A m m 2'
_space_group_IT_number 38
_cell_length_a 3.936
_cell_length_b 4.058
_cell_length_c 10.665
_cell_angle_alpha 90.00
_cell_angle_beta 90.00
_cell_angle_gamma 90.00
loop_
_space_group_symop_operation_xyz
'x,y,z'
'-x,-y,z'
'-x,y,z'
'x,-y,z'
'x,y+1/2,z+1/2'
'-x,-y+1/2,z+1/2'
'-x,y+1/2,z+1/2'
'x,-y+1/2,z+1/2'
loop_
_atom_site_label
_atom_site_fract_x
_atom_site_fract_y
_atom_site_fract_z
La1 0.000 0.000 0.000
Y1 0.500 0.000 0.285
Co1 0.000 0.000 0.710
Co2 0.500 0.000 0.593

Entry 4:
# LaYCo2 PBE relaxed
# Relative energy among the computed polymorphs ... 1.42 eV/f.u.
# Energy relative to the elements ... 0.23 eV per atom
data_LaYCo2
_chemical_formula_sum 'La4 Y4 Co8'
_space_group_name_H-M_alt 'I -4 2 d'
_space_group_IT_number 122
_space_group_name_Hall 'I -4 2bw'
_cell_length_a 7.173
_cell_length_b 7.173
_cell_length_c 6.301
_cell_angle_alpha 90.00
_cell_angle_beta 90.00
_cell_angle_gamma 90.00
loop_
_atom_site_label
_atom_site_fract_x
_atom_site_fract_y
_atom_site_fract_z
La1 0.000 0.000 0.000
Y1 0.000 0.000 0.500
Co1 0.235 0.750 0.125

Entry 5:
# La2YCo2 PBE relaxed
# Relative energy among the computed polymorphs ... 0.00 eV/f.u.
# Energy relative to the elements ... -0.11 eV per atom
data_La2YCo2
_chemical_formula_sum 'La8 Y4 Co8'
_space_group_name_H-M_alt 'C 1 2/c 1'
_space_group_IT_number 15
_cell_length_a 11.315
_cell_length_b 6.251
_cell_length_c 7.403
_cell_angle_alpha 90.00
_cell_angle_beta 106.64
_cell_angle_gamma 90.00
loop_
_space_group_symop_operation_xyz
'x,y,z'
'-x,-y,-z'
'-x,y,-z+1/2'
'x,-y,z+1/2'
'x+1/2,y+1/2,z'
'-x+1/2,-y+1/2,-z'
'-x+1/2,y+1/2,-z+1/2'
'x+1/2,-y+1/2,z+1/2'
loop_
_atom_site_label
_atom_site_fract_x
_atom_site_fract_y
_atom_site_fract_z
La1 0.163 0.103 0.153
Y1 0.000 0.443 0.750
Co1 0.173 0.351 0.535

Entry 6:
# LaY3Co PBE relaxed
# Relative energy among the computed polymorphs ... 7.36 eV/f.u.
# Energy relative to the elements ... 1.37 eV per atom
data_LaY3Co
_chemical_formula_sum 'La1 Y3 Co1'
_space_group_name_H-M_alt 'P m -3 m'
_space_group_IT_number 221
_space_group_name_Hall '-P 4 2 3'
_cell_length_a 5.528
_cell_length_b 5.528
_cell_length_c 5.528
_cell_angle_alpha 90.00
_cell_angle_beta 90.00
_cell_angle_gamma 90.00
loop_
_atom_site_label
_atom_site_fract_x
_atom_site_fract_y
_atom_site_fract_z
La1 0.000 0.000 0.000
Y1 0.000 0.000 0.500
Co1 0.500 0.500 0.500

Entry 7:
# LaYCo PBE relaxed
# Relative energy among the computed polymorphs ... 0.43 eV/f.u.
# Energy relative to the elements ... 0.01 eV per atom
data_LaYCo
_chemical_formula_sum 'La4 Y4 Co4'
_space_group_name_H-M_alt 'F -4 3 m'
_space_group_IT_number 216
_space_group_name_Hall 'F -4 2 3'
_cell_length_a 6.798
_cell_length_b 6.798
_cell_length_c 6.798
_cell_angle_alpha 90.00
_cell_angle_beta 90.00
_cell_angle_gamma 90.00
loop_
_atom_site_label
_atom_site_fract_x
_atom_site_fract_y
_atom_site_fract_z
La1 0.000 0.000 0.000
Y1 0.000 0.000 0.500
Co1 0.250 0.250 0.750

Entry 8:
# La2Y3Co PBE relaxed
# Energy relative to the elements ... -0.02 eV per atom
data_La2Y3Co
_chemical_formula_sum 'La4 Y6 Co2'
_space_group_name_H-M_alt 'P -1'
_space_group_IT_number 2
_cell_length_a 6.734
_cell_length_b 6.804
_cell_length_c 8.513
_cell_angle_alpha 80.59
_cell_angle_beta 72.23
_cell_angle_gamma 81.91
loop_
_space_group_symop_operation_xyz
'x,y,z'
'-x,-y,-z'
loop_
_atom_site_label
_atom_site_fract_x
_atom_site_fract_y
_atom_site_fract_z
La1 0.120 0.169 0.089
La2 0.280 0.663 0.153
Y1 0.097 0.221 0.482
Y2 0.310 0.484 0.682
Y3 0.407 0.944 0.718
Co1 0.320 0.808 0.440

Entry 9:
# La3YCo PBE relaxed
# Relative energy among the computed polymorphs ... 6.32 eV/f.u.
# Energy relative to the elements ... 1.22 eV per atom
data_La3YCo
_chemical_formula_sum 'La3 Y1 Co1'
_space_group_name_H-M_alt 'P m -3 m'
_space_group_IT_number 221
_space_group_name_Hall '-P 4 2 3'
_cell_length_a 5.787
_cell_length_b 5.787
_cell_length_c 5.787
_cell_angle_alpha 90.00
_cell_angle_beta 90.00
_cell_angle_gamma 90.00
loop_
_atom_site_label
_atom_site_fract_x
_atom_site_fract_y
_atom_site_fract_z
La1 0.000 0.000 0.500
Y1 0.000 0.000 0.000
Co1 0.500 0.500 0.500

Entry 10:
# LaY12Co6 PBE relaxed
# Energy relative to the elements ... -0.12 eV per atom
data_LaY12Co6
_chemical_formula_sum 'La2 Y24 Co12'
_space_group_name_H-M_alt 'I m -3'
_space_group_IT_number 204
_space_group_name_Hall '-I 2 2 3'
_cell_length_a 9.849
_cell_length_b 9.849
_cell_length_c 9.849
_cell_angle_alpha 90.00
_cell_angle_beta 90.00
_cell_angle_gamma 90.00
loop_
_atom_site_label
_atom_site_fract_x
_atom_site_fract_y
_atom_site_fract_z
La1 0.000 0.000 0.000
Y1 0.000 0.194 0.310
Co1 0.000 0.388 0.500

Entry 11:
# LaYCo PBE relaxed
# Relative energy among the computed polymorphs ... 0.00 eV/f.u.
# Energy relative to the elements ... -0.14 eV per atom
data_LaYCo
_chemical_formula_sum 'La4 Y4 Co4'
_space_group_name_H-M_alt 'I m m m'
_space_group_IT_number 71
_space_group_name_Hall '-I 2 2'
_cell_length_a 3.660
_cell_length_b 7.115
_cell_length_c 12.038
_cell_angle_alpha 90.00
_cell_angle_beta 90.00
_cell_angle_gamma 90.00
loop_
_atom_site_label
_atom_site_fract_x
_atom_site_fract_y
_atom_site_fract_z
La1 0.000 0.000 0.229
Y1 0.000 0.238 0.500
Co1 0.000 0.500 0.113

Entry 12:
# La2Y3Co2 PBE relaxed
# Energy relative to the elements ... -0.09 eV per atom
data_La2Y3Co2
_chemical_formula_sum 'La4 Y6 Co4'
_space_group_name_H-M_alt 'C 1 2/m 1'
_space_group_IT_number 12
_cell_length_a 12.809
_cell_length_b 3.950
_cell_length_c 9.265
_cell_angle_alpha 90.00
_cell_angle_beta 120.94
_cell_angle_gamma 90.00
loop_
_space_group_symop_operation_xyz
'x,y,z'
'-x,-y,-z'
'-x,y,-z'
'x,-y,z'
'x+1/2,y+1/2,z'
'-x+1/2,-y+1/2,-z'
'-x+1/2,y+1/2,-z'
'x+1/2,-y+1/2,z'
loop_
_atom_site_label
_atom_site_fract_x
_atom_site_fract_y
_atom_site_fract_z
La1 0.098 0.000 0.401
Y1 0.000 0.500 0.000
Y2 0.205 0.500 0.813
Co1 0.084 0.000 0.875

Entry 13:
# LaY4Co PBE relaxed
# Relative energy among the computed polymorphs ... 0.00 eV/f.u.
# Energy relative to the elements ... 0.11 eV per atom
data_LaY4Co
_chemical_formula_sum 'La1 Y4 Co1'
_space_group_name_H-M_alt 'P 1 2/m 1'
_space_group_IT_number 10
_cell_length_a 6.254
_cell_length_b 3.575
_cell_length_c 8.846
_cell_angle_alpha 90.00
_cell_angle_beta 101.23
_cell_angle_gamma 90.00
loop_
_space_group_symop_operation_xyz
'x,y,z'
'-x,-y,-z'
'-x,y,-z'
'x,-y,z'
loop_
_atom_site_label
_atom_site_fract_x
_atom_site_fract_y
_atom_site_fract_z
La1 0.000 0.000 0.000
Y1 0.112 0.500 0.348
Y2 0.408 0.000 0.713
Co1 0.500 0.500 0.500

Entry 14:
# LaY4Co PBE relaxed
# Relative energy among the computed polymorphs ... 3.64 eV/f.u.
# Energy relative to the elements ... 0.71 eV per atom
data_LaY4Co
_chemical_formula_sum 'La4 Y16 Co4'
_space_group_name_H-M_alt 'F -4 3 m'
_space_group_IT_number 216
_space_group_name_Hall 'F -4 2 3'
_cell_length_a 9.080
_cell_length_b 9.080
_cell_length_c 9.080
_cell_angle_alpha 90.00
_cell_angle_beta 90.00
_cell_angle_gamma 90.00
loop_
_atom_site_label
_atom_site_fract_x
_atom_site_fract_y
_atom_site_fract_z
La1 0.000 0.000 0.000
Y1 0.125 0.125 0.625
Co1 0.250 0.250 0.250

N(E_F) for every record listed, in sequence, given in states/eV/cell: 12.418; 7.400; 7.263; 4.115; 20.543; 12.240; 11.406; 15.267; 10.309; 32.705; 12.705; 15.032; 7.263; 59.985.